Record 1
Entry from the Alexandria database: crystalline LaIrOs at its relaxed geometry (PBE).

abc: 5.8231 5.8231 5.8231
angles: 151.29 139.61 50.31
Fractional positions:
Ir1 0.0446 0.0446 0.0000
Os1 0.6222 0.6222 0.0000
La1 0.3332 0.3332 0.0000

Computed properties:
For the density of states at the Fermi level, the calculation gives 2.7 states/eV per cell. As for the crystal system: orthorhombic. Its symmetry is Imm2 (44). The calculation puts the formation energy at 31.9 meV/atom.



Record 2
Entry from the Alexandria database: crystalline LaIrOs at its relaxed geometry (PBE).

abc: 4.2639 4.2639 4.4266
angles: 90.00 90.00 120.00
Fractional positions:
Ir1 0.0000 0.0000 0.8333
Os1 0.3333 0.6667 0.8335
La1 0.6667 0.3333 0.3332

Computed properties:
For the density of states at the Fermi level, the calculation gives 3.2 states/eV per cell. As for the crystal system: hexagonal. Its symmetry is P-6m2 (187). The calculation puts the formation energy at -216.7 meV/atom.